Record 1
# AlTlSe2N

Crystalline AlTlSe2N at its relaxed geometry (PBE, Alexandria).

Computed properties:
The calculation puts the total moment at 0.0000 μB per atom. The calculation puts the uncorrected formation energy at 0.121 eV per atom. For the offset from the most stable computed form, the calculation gives 0.00 eV/f.u. The calculation puts the energy at -4.160 eV/atom.

Cell lengths 5.408, 5.408, 3.544 Å; angles 90.00, 90.00, 90.00 degrees
Space group P4/mmm (No. 123)
Unique sites:
Al 0.000 0.000 0.000
Tl 0.500 0.500 0.500
Se 0.000 0.500 0.000
N 0.000 0.000 0.500

Record 2
# AlTlSeN2

Crystalline AlTlSeN2 at its relaxed geometry (PBE, Alexandria).

Computed properties:
The calculation puts the total moment at 0.5974 μB per atom. The calculation puts the uncorrected formation energy at 1.710 eV per atom. For the offset from the most stable computed form, the calculation gives 5.27 eV/f.u. The calculation puts the energy at -3.539 eV/atom.

Cell lengths 4.292, 4.292, 6.056 Å; angles 90.00, 90.00, 90.00 degrees
Space group P4/mmm (No. 123)
Unique sites:
Al 0.000 0.000 0.000
Tl 0.500 0.500 0.500
Se 0.500 0.500 0.000
N 0.000 0.500 0.500

Record 3
# AlVSe2N

Crystalline AlVSe2N at its relaxed geometry (PBE, Alexandria).

Computed properties:
The calculation puts the total moment at 0.0079 μB per atom. The calculation puts the uncorrected formation energy at 0.448 eV per atom. For the offset from the most stable computed form, the calculation gives 2.39 eV/f.u. The calculation puts the energy at -5.183 eV/atom.

Cell lengths 4.992, 4.992, 3.516 Å; angles 90.00, 90.00, 90.00 degrees
Space group P4/mmm (No. 123)
Unique sites:
Al 0.000 0.000 0.000
V 0.500 0.500 0.500
Se 0.000 0.500 0.000
N 0.000 0.000 0.500

Record 4
# AlVSe2N

Crystalline AlVSe2N at its relaxed geometry (PBE, Alexandria).

Computed properties:
The calculation puts the total moment at 0.0000 μB per atom. The calculation puts the uncorrected formation energy at -0.029 eV per atom. For the offset from the most stable computed form, the calculation gives 0.00 eV/f.u. The calculation puts the energy at -5.660 eV/atom.

Cell lengths 4.993, 4.993, 3.620 Å; angles 90.00, 90.00, 90.00 degrees
Space group P4/mmm (No. 123)
Unique sites:
Al 0.000 0.000 0.000
V 0.500 0.500 0.500
Se 0.000 0.500 0.500
N 0.500 0.500 0.000